## Ho8ThSc3 (GGA-PBE)

Data for an optimized crystal structure of Ho8ThSc3.

POSCAR file:
```
Ho8ThSc3
1.0
-3.244 3.244 9.956
3.244 -3.244 9.956
3.244 3.244 -9.956
Ho Th Sc
8 1 3
Direct
0.122 0.122 0.498
0.122 0.624 0.000
0.376 0.376 0.498
0.376 0.878 0.000
0.624 0.122 0.000
0.624 0.624 0.502
0.878 0.376 0.000
0.878 0.878 0.502
0.500 0.500 0.000
0.000 0.000 0.000
0.250 0.750 0.500
0.750 0.250 0.500
```

---

## Ho2ThSc2 (GGA-PBE)

Data for an optimized crystal structure of Ho2ThSc2.

POSCAR file:
```
Ho2ThSc2
1.0
3.208 -5.172 0.000
3.208 5.172 0.000
-2.732 0.000 8.728
Ho Th Sc
4 2 4
Direct
0.016 0.016 0.332
0.277 0.277 0.071
0.723 0.723 0.929
0.984 0.984 0.668
0.328 0.672 0.500
0.672 0.328 0.500
0.124 0.559 0.827
0.441 0.876 0.173
0.559 0.124 0.827
0.876 0.441 0.173
```

---

## Ho4ThSc2 (GGA-PBE)

Data for an optimized crystal structure of Ho4ThSc2.

POSCAR file:
```
Ho4ThSc2
1.0
7.792 -7.830 0.000
7.792 7.830 0.000
0.000 0.000 3.475
Ho Th Sc
8 2 4
Direct
0.031 0.250 0.001
0.250 0.031 0.999
0.250 0.469 0.999
0.469 0.250 0.001
0.531 0.750 0.999
0.750 0.531 0.001
0.750 0.969 0.001
0.969 0.750 0.999
0.250 0.750 0.497
0.750 0.250 0.503
0.000 0.000 0.500
0.000 0.500 0.500
0.500 0.000 0.500
0.500 0.500 0.500
```

---

## HoThSc2 (GGA-PBE)

Data for an optimized crystal structure of HoThSc2.

POSCAR file:
```
HoThSc2
1.0
3.889 0.000 0.000
0.000 3.889 0.000
0.000 0.000 7.395
Ho Th Sc
1 1 2
Direct
0.000 0.000 0.000
0.000 0.000 0.500
0.500 0.500 0.256
0.500 0.500 0.744
```

---

## HoTh3Sc7 (GGA-PBE)

Data for an optimized crystal structure of HoTh3Sc7.

POSCAR file:
```
HoTh3Sc7
1.0
6.745 0.000 0.000
-3.373 5.842 0.000
0.000 0.000 8.018
Ho Th Sc
1 3 7
Direct
0.000 0.000 0.000
0.335 0.168 0.657
0.832 0.168 0.657
0.832 0.665 0.657
0.168 0.336 0.326
0.168 0.832 0.326
0.500 0.001 0.999
0.500 0.500 0.999
0.664 0.832 0.326
0.667 0.333 0.321
0.999 0.500 0.999
```

---

## Ho2ThSc2 (GGA-PBE)

Data for an optimized crystal structure of Ho2ThSc2.

POSCAR file:
```
Ho2ThSc2
1.0
2.631 -8.090 0.000
2.631 8.090 0.000
0.000 0.000 6.729
Ho Th Sc
4 2 4
Direct
0.002 0.998 0.500
0.201 0.799 0.985
0.799 0.201 0.485
0.998 0.002 0.000
0.393 0.607 0.742
0.607 0.393 0.242
0.200 0.800 0.489
0.386 0.614 0.239
0.614 0.386 0.739
0.800 0.200 0.989
```

---

Listing ΔE_f for the structures above in their given order: 0.72 0.16 0.18 0.06 0.23 0.06 eV per atom.